Cs2Te3Br8: relaxed, PBE-GGA.

The total DFT energy (no corrections) is -65.294 eV for the cell shown.

a = 16.256 Å, b = 7.558 Å, c = 9.677 Å
α = 90.00°, β = 104.97°, γ = 90.00°
Space group C2/m (No. 12)
Inequivalent atoms, fractional coordinates:
Cs1 0.237 0.000 0.222 (multiplicity 4)
Te1 0.000 0.317 0.500 (multiplicity 4)
Te2 0.000 0.500 0.000 (multiplicity 2)
Br1 0.098 0.250 0.917 (multiplicity 8)
Br2 0.118 0.000 0.488 (multiplicity 4)
Br3 0.129 0.500 0.388 (multiplicity 4)


MnTl2PbCl8: relaxed, PBE-GGA.

The total DFT energy (no corrections) is -43.848 eV for the cell shown.

a = 6.598 Å, b = 7.069 Å, c = 8.275 Å
α = 89.73°, β = 89.65°, γ = 89.34°
Space group P-1 (No. 2)
Inequivalent atoms, fractional coordinates:
Mn1 0.000 0.000 0.000 (multiplicity 1)
Tl1 0.498 0.500 0.769 (multiplicity 2)
Pb1 0.000 0.000 0.500 (multiplicity 1)
Cl1 0.174 0.724 0.002 (multiplicity 2)
Cl2 0.212 0.119 0.198 (multiplicity 2)
Cl3 0.214 0.116 0.799 (multiplicity 2)
Cl4 0.266 0.681 0.500 (multiplicity 2)